A plane-wave DFT calculation with PBE was carried out for a geometry-optimized Ca2UPN5 structure.

a = 3.3753 Å, b = 7.1077 Å, c = 11.0855 Å
α = 90.00°, β = 90.00°, γ = 103.74°
Fractional positions:
Ca  0.1279  0.2557  0.3483
P  0.4356  0.8712  0.4069
P  0.5644  0.1288  0.9069
Ca  0.8721  0.7443  0.8483
N  0.2926  0.5851  0.6682
N  0.7074  0.4149  0.1682
U  0.7944  0.5888  0.5509
N  0.6527  0.3055  0.5142
Ca  0.9189  0.8378  0.1477
N  0.5058  0.0116  0.7852
N  0.3473  0.6945  0.0142
N  0.4942  0.9884  0.2852
U  0.2056  0.4112  0.0509
N  0.9580  0.9159  0.4873
Ca  0.0811  0.1622  0.6477
N  0.0420  0.0841  0.9873
N  0.3166  0.6332  0.4153
N  0.6834  0.3668  0.9153

## Properties
SG: No. 36
Crystal system: orthorhombic


A plane-wave DFT calculation with PBE was carried out for a geometry-optimized Pa4C2SN structure.

a = 3.6469 Å, b = 6.3606 Å, c = 6.3253 Å
α = 109.38°, β = 90.00°, γ = 90.00°
Fractional positions:
Pa  0.0000  0.7683  0.2669
C  0.5000  0.0000  0.5000
Pa  0.5000  0.7591  0.7417
N  0.0000  0.0000  0.0000
Pa  0.5000  0.2409  0.2583
C  0.0000  0.5000  0.5000
S  0.5000  0.5000  0.0000
Pa  0.0000  0.2317  0.7331

## Properties
SG: No. 10
Crystal system: monoclinic


no.,uncorrected formation energy (eV per atom),total energy (eV per atom)
1,-0.915,-7.840
2,-1.015,-9.625